# FeReO2

An optimized crystal structure of FeReO2 (GGA+U, the Alexandria database). Values from VASP.

```
&SYSTEM
  ibrav = 0, nat = 4, ntyp = 3
/
ATOMIC_SPECIES
Re 186.21 Re.upf
Fe 55.84 Fe.upf
O 16.00 O.upf
CELL_PARAMETERS angstrom
-0.4702 6.8704 0.7438
-0.2872 6.0482 3.3636
1.9947 6.3672 1.8590
ATOMIC_POSITIONS crystal
Re 0.5000 0.5000 0.5000
Fe 0.0000 0.0000 0.0000
O 0.9020 0.9020 0.9020
O 0.0980 0.0980 0.0980
```

Output
SG   No. 166
Total DFT energy (no corrections)   -7.582 eV/atom
ΔE to the lowest computed polymorph   0 meV/atom
Calculated volume   11.05 A^3/atom
Crystal system   trigonal